Entry 1:
This record from Alexandria via LeMat-Bulk describes a relaxed CePrSb crystal. The functional is PBE.

The structure in POSCAR format:
```
CePrSb
1.0
5.672 0.000 0.000
0.000 3.451 0.000
-2.836 -1.726 9.403
Ce Pr Sb
2 2 2
Direct
0.254 0.500 0.000
0.746 0.500 0.000
0.674 0.174 0.347
0.326 0.826 0.653
0.155 0.655 0.309
0.845 0.345 0.691
```

Summary:
The crystal system is orthorhombic.

***

Entry 2:
This record from Alexandria via LeMat-Bulk describes a relaxed Ce3PrSb4 crystal. The functional is PBE.

The structure in POSCAR format:
```
Ce3PrSb4
1.0
4.516 0.000 0.000
0.000 7.818 -0.075
0.000 -2.536 7.396
Ce Sb Pr
3 4 1
Direct
0.000 0.000 0.500
0.000 0.500 0.000
0.500 0.500 0.500
0.500 0.748 0.252
0.000 0.254 0.254
0.500 0.252 0.748
0.000 0.746 0.746
0.500 0.000 0.000
```

Summary:
The crystal system is orthorhombic. The value obtained for the excess energy over the best structure of this formula in the dataset is 0 meV/atom.

***

Entry 3:
This record from Alexandria via LeMat-Bulk describes a relaxed Ce5PrSb6 crystal. The functional is PBE.

The structure in POSCAR format:
```
Ce5PrSb6
1.0
-4.834 -5.899 -1.673
1.112 -5.811 5.107
-4.132 -0.220 6.631
Ce Sb Pr
5 6 1
Direct
0.000 0.667 0.666
0.500 0.500 0.000
0.500 0.166 0.668
0.500 0.834 0.332
0.000 0.333 0.334
0.748 0.084 0.336
0.251 0.253 0.000
0.252 0.580 0.336
0.748 0.420 0.664
0.252 0.916 0.664
0.749 0.747 0.000
0.000 0.000 0.000
```

Summary:
The crystal system is monoclinic.

***

Going through the records in order, we get uncorrected formation energy values of -0.4718 -1.0798 -1.0668 eV/atom.